(1)
VASP calculation (PBE) on an optimized crystal structure of Sr2AcMg2Tl2.

Formation enthalpy at 0 K = -0.22 eV per atom
DOS(E_F) = 0.52 states/eV per atom
Mass density = 5.81 g/cm³

a b c (Å): 11.110 11.110 11.110
angles (deg): 26.80 26.80 26.80
Fractional positions:
Sr 0.124 0.124 0.124
Sr 0.876 0.876 0.876
Ac 0.000 0.000 0.000
Mg 0.395 0.395 0.395
Mg 0.605 0.605 0.605
Tl 0.267 0.267 0.267
Tl 0.733 0.733 0.733


(2)
VASP calculation (PBE) on an optimized crystal structure of SrAc2MgTl4.

Formation enthalpy at 0 K = -0.31 eV per atom
DOS(E_F) = 0.74 states/eV per atom
Mass density = 8.78 g/cm³

a b c (Å): 10.083 10.083 10.083
angles (deg): 32.40 32.40 32.40
Fractional positions:
Sr 0.000 0.000 0.000
Ac 0.244 0.244 0.244
Ac 0.756 0.756 0.756
Mg 0.500 0.500 0.500
Tl 0.126 0.126 0.126
Tl 0.375 0.375 0.375
Tl 0.625 0.625 0.625
Tl 0.874 0.874 0.874


(3)
VASP calculation (PBE) on an optimized crystal structure of SrAcYMg.

Formation enthalpy at 0 K = 0.17 eV per atom
DOS(E_F) = 0.66 states/eV per atom
Mass density = 4.77 g/cm³

a b c (Å): 8.413 8.413 8.413
angles (deg): 90.00 90.00 90.00
Fractional positions:
Sr 0.000 0.000 0.000
Sr 0.000 0.500 0.500
Sr 0.500 0.000 0.500
Sr 0.500 0.500 0.000
Ac 0.250 0.250 0.750
Ac 0.250 0.750 0.250
Ac 0.750 0.250 0.250
Ac 0.750 0.750 0.750
Y 0.000 0.000 0.500
Y 0.000 0.500 0.000
Y 0.500 0.000 0.000
Y 0.500 0.500 0.500
Mg 0.250 0.250 0.250
Mg 0.250 0.750 0.750
Mg 0.750 0.250 0.750
Mg 0.750 0.750 0.250


Please write out number 3 again, unchanged.
VASP calculation (PBE) on an optimized crystal structure of SrAcYMg.

Formation enthalpy at 0 K = 0.17 eV per atom
DOS(E_F) = 0.66 states/eV per atom
Mass density = 4.77 g/cm³

a b c (Å): 8.413 8.413 8.413
angles (deg): 90.00 90.00 90.00
Fractional positions:
Sr 0.000 0.000 0.000
Sr 0.000 0.500 0.500
Sr 0.500 0.000 0.500
Sr 0.500 0.500 0.000
Ac 0.250 0.250 0.750
Ac 0.250 0.750 0.250
Ac 0.750 0.250 0.250
Ac 0.750 0.750 0.750
Y 0.000 0.000 0.500
Y 0.000 0.500 0.000
Y 0.500 0.000 0.000
Y 0.500 0.500 0.500
Mg 0.250 0.250 0.250
Mg 0.250 0.750 0.750
Mg 0.750 0.250 0.750
Mg 0.750 0.750 0.250


> Which value of mass density does entry 2 give?

8.78 g/cm³


> The highest DOS(E_F) belongs to which entry?

SrAc2MgTl4